1.
PBE TaCo2Ni, relaxed; crystal system = tetragonal
1.0
3.082 0.000 0.000
0.000 3.082 0.000
0.000 0.000 5.264
Ta Co Ni
1 2 1
Direct
0.000 0.000 0.000
0.500 0.500 0.265
0.500 0.500 0.735
0.000 0.000 0.500

***

2.
PBE TaCo2Ni, relaxed; crystal system = monoclinic
1.0
2.525 -4.231 0.000
2.525 4.231 0.000
-1.133 0.000 2.382
Ta Co Ni
1 2 1
Direct
0.000 0.000 0.000
0.000 0.500 0.500
0.500 0.000 0.500
0.500 0.500 0.000

***

Verdict on stability: 2 comes out at the bottom.

***

1.
PBE Li2RePt, relaxed; crystal system = trigonal
1.0
1.357 0.783 9.013
-1.357 0.783 9.013
0.000 -1.567 9.013
Li Re Pt
2 1 1
Direct
0.246 0.246 0.246
0.754 0.754 0.754
0.000 0.000 0.000
0.500 0.500 0.500

***

2.
PBE Li2RePt, relaxed; crystal system = monoclinic
1.0
4.536 -1.328 0.000
4.536 1.328 0.000
-0.624 0.000 4.890
Li Re Pt
2 1 1
Direct
0.000 0.000 0.000
0.238 0.238 0.823
0.481 0.481 0.483
0.735 0.735 0.328

***

Verdict on stability: 2 comes out at the bottom.

***

1.
PBE AcTeS, relaxed; crystal system = monoclinic
1.0
6.844 0.000 0.000
0.000 8.001 0.000
-1.141 0.000 8.419
Ac Te S
4 4 4
Direct
0.023 0.000 0.200
0.317 0.461 0.378
0.683 0.961 0.622
0.977 0.500 0.800
0.104 0.168 0.576
0.465 0.577 0.776
0.535 0.077 0.224
0.896 0.668 0.424
0.051 0.347 0.108
0.383 0.840 0.348
0.617 0.340 0.652
0.949 0.847 0.892

***

2.
PBE AcTeS, relaxed; crystal system = tetragonal
1.0
-2.074 2.074 5.413
2.074 -2.074 5.413
2.074 2.074 -5.413
Ac Te S
1 1 1
Direct
0.000 0.000 0.000
0.327 0.327 0.000
0.595 0.595 0.000

***

Verdict on stability: 2 comes out at the bottom.

***

1.
PBE KMnMo2, relaxed; crystal system = cubic
1.0
0.000 3.326 3.326
3.326 0.000 3.326
3.326 3.326 0.000
K Mn Mo
1 1 2
Direct
0.000 0.000 0.000
0.250 0.250 0.250
0.500 0.500 0.500
0.750 0.750 0.750

***

2.
PBE KMnMo2, relaxed; crystal system = orthorhombic
1.0
1.597 -2.207 0.000
1.597 2.207 0.000
0.000 0.000 10.291
K Mn Mo
1 1 2
Direct
0.000 0.000 0.000
0.000 0.000 0.500
0.500 0.500 0.308
0.500 0.500 0.692

***

Verdict on stability: 1 comes out at the bottom.

***

1.
PBE SrLa2Mn, relaxed; crystal system = cubic
1.0
0.000 5.533 5.533
5.533 0.000 5.533
5.533 5.533 0.000
Sr La Mn
2 4 2
Direct
0.125 0.125 0.125
0.875 0.875 0.875
0.000 0.500 0.500
0.500 0.000 0.500
0.500 0.500 0.000
0.500 0.500 0.500
0.375 0.375 0.375
0.625 0.625 0.625

***

2.
PBE SrLa2Mn, relaxed; crystal system = monoclinic
1.0
3.425 -6.072 0.000
3.425 6.072 0.000
-1.570 0.000 3.268
Sr La Mn
1 2 1
Direct
0.000 0.000 0.000
0.000 0.500 0.500
0.500 0.000 0.500
0.500 0.500 0.000

***

Verdict on stability: 2 comes out at the bottom.

***

1.
PBE TlIn2Os, relaxed; crystal system = trigonal
1.0
1.614 0.932 9.964
-1.614 0.932 9.964
0.000 -1.863 9.964
Tl In Os
1 2 1
Direct
0.000 0.000 0.000
0.236 0.236 0.236
0.764 0.764 0.764
0.500 0.500 0.500

***

2.
PBE TlIn2Os, relaxed; crystal system = orthorhombic
1.0
3.012 0.000 0.000
0.000 4.508 0.000
0.000 0.000 7.834
Tl In Os
1 2 1
Direct
0.000 0.000 0.000
0.000 0.000 0.600
0.500 0.500 0.273
0.500 0.500 0.611

***

Verdict on stability: 2 comes out at the bottom.

***

1.
PBE ReRh, relaxed; crystal system = tetragonal
1.0
8.032 0.000 0.000
0.000 8.032 0.000
0.000 0.000 2.610
Re Rh
4 4
Direct
0.129 0.129 0.000
0.371 0.629 0.500
0.629 0.371 0.500
0.871 0.871 0.000
0.173 0.827 0.000
0.327 0.327 0.500
0.673 0.673 0.500
0.827 0.173 0.000

***

2.
PBE ReRh, relaxed; crystal system = monoclinic
1.0
4.319 -1.946 0.000
4.319 1.946 0.000
-3.479 0.000 6.906
Re Rh
4 4
Direct
0.000 0.000 0.000
0.012 0.012 0.503
0.263 0.263 0.882
0.504 0.504 0.251
0.252 0.252 0.373
0.509 0.509 0.755
0.754 0.754 0.622
0.757 0.757 0.133

***

Verdict on stability: 1 comes out at the bottom.

***

1.
PBE Zn2InBr, relaxed; crystal system = orthorhombic
1.0
-1.785 2.506 5.224
1.785 -2.506 5.224
1.785 2.506 -5.224
Zn In Br
2 1 1
Direct
0.000 0.000 0.000
0.806 0.306 0.500
0.549 0.549 0.000
0.254 0.754 0.500

***

2.
PBE Zn2InBr, relaxed; crystal system = orthorhombic
1.0
2.404 -2.632 0.000
2.404 2.632 0.000
0.000 0.000 7.454
Zn In Br
2 1 1
Direct
0.000 0.000 0.000
0.500 0.500 0.176
0.000 0.000 0.409
0.500 0.500 0.776

***

Verdict on stability: 1 comes out at the bottom.

***

1.
PBE BeOsRh, relaxed; crystal system = trigonal
1.0
2.690 0.000 0.000
-1.345 2.329 0.000
0.000 0.000 6.044
Be Os Rh
1 1 1
Direct
0.000 0.000 0.000
0.667 0.333 0.320
0.333 0.667 0.690

***

2.
PBE BeOsRh, relaxed; crystal system = orthorhombic
1.0
0.000 2.260 6.091
1.387 0.000 6.091
1.387 2.260 0.000
Be Os Rh
1 1 1
Direct
0.000 0.000 0.000
0.343 0.343 0.657
0.649 0.649 0.351

***

Verdict on stability: 2 comes out at the bottom.

***

1.
PBE KCr2Ir, relaxed; crystal system = trigonal
1.0
1.365 0.788 10.258
-1.365 0.788 10.258
0.000 -1.576 10.258
K Cr Ir
1 2 1
Direct
0.000 0.000 0.000
0.234 0.234 0.234
0.766 0.766 0.766
0.500 0.500 0.500

***

2.
PBE KCr2Ir, relaxed; crystal system = monoclinic
1.0
4.572 -1.450 0.000
4.572 1.450 0.000
-0.589 0.000 6.388
K Cr Ir
1 2 1
Direct
0.000 0.000 0.000
0.223 0.223 0.608
0.777 0.777 0.392
0.500 0.500 0.500

***

Verdict on stability: 1 comes out at the bottom.

***

1.
PBE Ba2CaAg, relaxed; crystal system = monoclinic
1.0
4.381 0.000 0.000
0.000 11.051 0.000
-2.190 0.000 7.311
Ba Ca Ag
4 2 2
Direct
0.137 0.066 0.273
0.137 0.434 0.273
0.863 0.566 0.727
0.863 0.934 0.727
0.417 0.250 0.836
0.583 0.750 0.164
0.236 0.750 0.472
0.764 0.250 0.528

***

2.
PBE Ba2CaAg, relaxed; crystal system = tetragonal
1.0
-5.422 5.422 3.265
5.422 -5.422 3.265
5.422 5.422 -3.265
Ba Ca Ag
4 2 2
Direct
0.023 0.125 0.398
0.375 0.977 0.102
0.727 0.625 0.602
0.875 0.273 0.898
0.250 0.750 0.500
0.500 0.500 0.000
0.000 0.000 0.000
0.750 0.250 0.500

***

Verdict on stability: 2 comes out at the bottom.